Record 1
La2SmYHo2 | PBE-GGA | optimized geometry

Lattice parameters (Å, degrees): 7.1338 5.7272 9.9017 90.00 90.00 90.00
Closest atoms and distances in Å follow each position.
Atoms (fractional coordinates):
La (0.0000, 0.0000, 0.0000)  6 La 3.57-3.80, 6 Ho 3.75-3.76, 2 Sm 3.81
La (0.2500, 0.5000, 0.1763)  5 Ho 3.26-3.57
La (0.5000, 0.0000, 0.0000)  6 La 3.57-3.80, 6 Ho 3.75-3.76, 2 Sm 3.81
La (0.7500, 0.5000, 0.8237)  5 Ho 3.26-3.57
Sm (0.2500, 0.0000, 0.6600)  5 Ho 3.22-3.57
Sm (0.7500, 0.0000, 0.3400)  5 Ho 3.22-3.57
Y (0.0000, 0.5000, 0.5000)  2 Y 3.57, 2 La 3.67, 4 Sm 3.73, 6 Ho 3.75
Y (0.5000, 0.5000, 0.5000)  2 Y 3.57, 2 La 3.67, 4 Sm 3.73, 6 Ho 3.75
Ho (0.2500, 0.0000, 0.3344)  3 Sm 3.22-3.57, 2 La 3.26
Ho (0.2500, 0.5000, 0.8337)  2 Sm 3.34, 3 La 3.39-3.57
Ho (0.7500, 0.0000, 0.6656)  3 Sm 3.22-3.57, 2 La 3.26
Ho (0.7500, 0.5000, 0.1663)  2 Sm 3.34, 3 La 3.39-3.57

Mass density, g/cm³: 7.0
Total energy, eV per atom: -4.970

---

Record 2
Zn2AsSe | PBE-GGA | optimized geometry

Lattice parameters (Å, degrees): 4.7231 4.7231 4.7231 60.00 60.00 60.00
Closest atoms and distances in Å follow each position.
Atoms (fractional coordinates):
Zn (0.0000, 0.0000, 0.0000)  4 As 2.89, 4 Zn 2.89
Zn (0.2500, 0.2500, 0.2500)  4 Se 2.89, 4 Zn 2.89
As (0.7500, 0.7500, 0.7500)  4 Se 2.89, 4 Zn 2.89
Se (0.5000, 0.5000, 0.5000)  4 As 2.89, 4 Zn 2.89

Mass density, g/cm³: 6.3
Formation energy (no corrections), eV/atom: 0.31

---

Record 3
Tb2ErRh2 | PBE-GGA | optimized geometry

Lattice parameters (Å, degrees): 7.7005 7.7005 5.6155 90.00 90.00 134.05
Closest atoms and distances in Å follow each position.
Atoms (fractional coordinates):
Tb (0.0825, 0.9175, 0.7500)  6 Rh 3.22-3.26, 4 Er 3.52, 2 Tb 3.60
Tb (0.2782, 0.7218, 0.2500)  2 Rh 2.64
Tb (0.7218, 0.2782, 0.7500)  2 Rh 2.64
Tb (0.9175, 0.0825, 0.2500)  6 Rh 3.22-3.26, 4 Er 3.52, 2 Tb 3.60
Er (0.5000, 0.5000, 0.0000)  4 Rh 2.72, 2 Er 2.81
Er (0.5000, 0.5000, 0.5000)  4 Rh 2.72, 2 Er 2.81
Rh (0.1198, 0.3666, 0.7500)  1 Tb 2.64, 2 Er 2.72, 1 Rh 2.92
Rh (0.3666, 0.1198, 0.2500)  1 Tb 2.64, 2 Er 2.72, 1 Rh 2.92
Rh (0.6334, 0.8802, 0.7500)  1 Tb 2.64, 2 Er 2.72, 1 Rh 2.92
Rh (0.8802, 0.6334, 0.2500)  1 Tb 2.64, 2 Er 2.72, 1 Rh 2.92

Mass density, g/cm³: 9.6
Polymorph energy (0 for the lowest one), meV per atom: 249

---

Record 4
Rb2In3Pb4 | PBE-GGA | optimized geometry

Lattice parameters (Å, degrees): 10.3154 9.1210 6.5190 80.67 60.75 38.58
Closest atoms and distances in Å follow each position.
Atoms (fractional coordinates):
Rb (0.1263, 0.1263, 0.8737)  8 Pb 3.76-3.99, 6 In 3.79-3.91
Rb (0.8737, 0.8737, 0.1263)  8 Pb 3.76-3.99, 6 In 3.79-3.91
In (0.0000, 0.0000, 0.5000)  4 In 3.11-3.26, 4 Pb 3.45
In (0.5000, 0.5000, 0.0000)  4 In 3.11-3.26, 4 Pb 3.45
In (0.5000, 0.5000, 0.5000)  4 In 3.26, 4 Pb 3.54
Pb (0.1565, 0.5002, 0.4998)  3 Pb 3.23-3.59, 3 In 3.45-3.54
Pb (0.5002, 0.1565, 0.8435)  3 Pb 3.23-3.59, 3 In 3.45-3.54
Pb (0.4998, 0.8435, 0.1565)  3 Pb 3.23-3.59, 3 In 3.45-3.54
Pb (0.8435, 0.4998, 0.5002)  3 Pb 3.23-3.59, 3 In 3.45-3.54

Mass density, g/cm³: 7.3
Total energy, eV per atom: -2.807

---

Record 5
Na2PaGeSe4 | PBE-GGA | optimized geometry

Lattice parameters (Å, degrees): 7.2533 4.1438 7.2891 90.00 108.57 90.00
Closest atoms and distances in Å follow each position.
Atoms (fractional coordinates):
Na (0.0000, 0.0000, 0.0000)  6 Se 3.05-3.07
Na (0.5000, 0.5000, 0.0000)  6 Se 3.05-3.08
Pa (0.0000, 0.5000, 0.5000)  6 Se 2.83-2.89
Ge (0.5000, 0.0000, 0.5000)  6 Se 2.86-2.87
Se (0.2447, 0.0000, 0.7286)  1 Ge 2.86, 2 Pa 2.89, 3 Na 3.05
Se (0.2548, 0.5000, 0.2765)  1 Pa 2.83, 2 Ge 2.87, 3 Na 3.07-3.08
Se (0.7452, 0.5000, 0.7235)  1 Pa 2.83, 2 Ge 2.87, 3 Na 3.07-3.08
Se (0.7553, 0.0000, 0.2714)  1 Ge 2.86, 2 Pa 2.89, 3 Na 3.05

Mass density, g/cm³: 5.3
Formation energy (no corrections), eV/atom: -1.04

---

Record 6
CrNiBr2 | PBE-GGA | optimized geometry

Lattice parameters (Å, degrees): 7.7014 7.7014 7.7014 154.20 152.62 37.97
Closest atoms and distances in Å follow each position.
Atoms (fractional coordinates):
Cr (0.0000, 0.0000, 0.0000)  2 Ni 2.64, 6 Br 2.74-2.95
Ni (0.1372, 0.6372, 0.5000)  4 Br 2.53, 2 Cr 2.64
Br (0.4235, 0.4235, 0.0000)  4 Cr 2.74
Br (0.6593, 0.1593, 0.5000)  4 Ni 2.53

Mass density, g/cm³: 4.9
Polymorph energy (0 for the lowest one), meV per atom: 213
Formation energy (no corrections), eV/atom: 0.12

---

Record 7
Ba3GeAs4 | PBE-GGA | optimized geometry

Lattice parameters (Å, degrees): 12.9461 6.2876 6.4842 90.00 90.00 90.00
Closest atoms and distances in Å follow each position.
Atoms (fractional coordinates):
Ba (0.0000, 0.0587, 0.0000)  6 As 3.37-3.53, 2 Ge 3.55-3.68
Ba (0.2474, 0.2915, 0.3329)  6 As 3.29-3.63
Ba (0.2526, 0.7085, 0.8329)  6 As 3.29-3.63
Ba (0.5000, 0.9413, 0.5000)  6 As 3.37-3.53, 2 Ge 3.55-3.68
Ba (0.7474, 0.7085, 0.8329)  6 As 3.29-3.63
Ba (0.7526, 0.2915, 0.3329)  6 As 3.29-3.63
Ge (0.0000, 0.8048, 0.4889)  3 As 2.47-2.51
Ge (0.5000, 0.1952, 0.9889)  3 As 2.47-2.51
As (0.0000, 0.2451, 0.5134)  1 As 2.57, 1 Ge 2.77
As (0.0000, 0.5451, 0.7821)  1 Ge 2.51, 1 As 2.57
As (0.1672, 0.7950, 0.3070)  1 Ge 2.47
As (0.3328, 0.2050, 0.8070)  1 Ge 2.47
As (0.5000, 0.4549, 0.2821)  1 Ge 2.51, 1 As 2.57
As (0.5000, 0.7549, 0.0134)  1 As 2.57, 1 Ge 2.77
As (0.6672, 0.2050, 0.8070)  1 Ge 2.47
As (0.8328, 0.7950, 0.3070)  1 Ge 2.47

Mass density, g/cm³: 4.9
Polymorph energy (0 for the lowest one), meV per atom: 186

---

Record 8
CdHgPt3 | PBE-GGA | optimized geometry

Lattice parameters (Å, degrees): 4.9644 4.9644 4.9644 90.00 90.00 90.00
Closest atoms and distances in Å follow each position.
Atoms (fractional coordinates):
Cd (0.0000, 0.0000, 0.0000)  6 Pt 2.48
Hg (0.5000, 0.5000, 0.5000)  12 Pt 3.51
Pt (0.0000, 0.0000, 0.5000)  2 Cd 2.48
Pt (0.0000, 0.5000, 0.0000)  2 Cd 2.48
Pt (0.5000, 0.0000, 0.0000)  2 Cd 2.48

Mass density, g/cm³: 12.2
Total energy, eV per atom: -2.710

---

Record 9
ScAgPd2 | PBE-GGA | optimized geometry

Lattice parameters (Å, degrees): 4.1707 4.1707 3.8370 90.00 90.00 90.00
Closest atoms and distances in Å follow each position.
Atoms (fractional coordinates):
Sc (0.0000, 0.0000, 0.0000)  8 Pd 2.83, 4 Ag 2.95
Ag (0.5000, 0.5000, 0.0000)  8 Pd 2.83, 4 Sc 2.95
Pd (0.0000, 0.5000, 0.5000)  4 Sc 2.83, 4 Ag 2.83, 4 Pd 2.95
Pd (0.5000, 0.0000, 0.5000)  4 Sc 2.83, 4 Ag 2.83, 4 Pd 2.95

Mass density, g/cm³: 9.1
Polymorph energy (0 for the lowest one), meV per atom: 0

---

Record 10
AsIrOs2 | PBE-GGA | optimized geometry

Lattice parameters (Å, degrees): 4.6445 4.6445 2.8102 90.00 90.00 103.44
Closest atoms and distances in Å follow each position.
Atoms (fractional coordinates):
As (0.0000, 0.0000, 0.0000)  8 Os 2.71, 2 As 2.81, 2 Ir 2.88
Ir (0.5000, 0.5000, 0.0000)  8 Os 2.71, 2 Ir 2.81, 2 As 2.88
Os (0.0000, 0.5000, 0.5000)  4 As 2.71, 4 Ir 2.71, 4 Os 2.81-2.88
Os (0.5000, 0.0000, 0.5000)  4 As 2.71, 4 Ir 2.71, 4 Os 2.81-2.88

Mass density, g/cm³: 18.2
Total energy, eV per atom: -8.517

---

Record 11
RbNa2Sc | PBE-GGA | optimized geometry

Lattice parameters (Å, degrees): 7.7174 7.7174 7.7174 104.04 104.04 120.99
Closest atoms and distances in Å follow each position.
Atoms (fractional coordinates):
Rb (0.0000, 0.0000, 0.0000)  4 Na 3.61, 2 Sc 3.80
Rb (0.7500, 0.2500, 0.5000)  4 Na 3.61, 2 Sc 3.80
Na (0.1438, 0.6250, 0.0188)  2 Sc 3.37, 2 Rb 3.61
Na (0.3750, 0.3938, 0.5188)  2 Sc 3.37, 2 Rb 3.61
Na (0.6062, 0.1250, 0.9812)  2 Sc 3.37, 2 Rb 3.61
Na (0.8750, 0.8562, 0.4812)  2 Sc 3.37, 2 Rb 3.61
Sc (0.2500, 0.7500, 0.5000)  4 Na 3.37
Sc (0.5000, 0.5000, 0.0000)  4 Na 3.37

Mass density, g/cm³: 1.7
Polymorph energy (0 for the lowest one), meV per atom: 150

---

Record 12
BeCrFe2 | PBE-GGA | optimized geometry

Lattice parameters (Å, degrees): 2.8493 2.8493 5.1634 90.00 90.00 90.00
Closest atoms and distances in Å follow each position.
Atoms (fractional coordinates):
Be (0.0000, 0.0000, 0.0000)  5 Fe 2.30-2.53, 4 Cr 2.38
Cr (0.5000, 0.5000, 0.2460)  4 Be 2.38, 5 Fe 2.39-2.43
Fe (0.0000, 0.0000, 0.5095)  4 Cr 2.43, 4 Fe 2.46, 2 Be 2.53-2.63
Fe (0.5000, 0.5000, 0.7835)  4 Be 2.30, 1 Cr 2.39, 4 Fe 2.46

Mass density, g/cm³: 6.8
Total energy, eV per atom: -7.526

---

Record 13
CsAl2Si | PBE-GGA | optimized geometry

Lattice parameters (Å, degrees): 9.3690 9.3690 9.3690 145.47 145.47 49.64
Closest atoms and distances in Å follow each position.
Atoms (fractional coordinates):
Cs (0.3750, 0.6250, 0.7500)  8 Al 3.77, 4 Si 3.93
Cs (0.6250, 0.3750, 0.2500)  8 Al 3.77, 4 Si 3.93
Al (0.0000, 0.0000, 0.0000)  2 Si 2.54, 2 Al 2.78
Al (0.0000, 0.0000, 0.5000)  2 Si 2.54, 2 Al 2.78
Al (0.0000, 0.5000, 0.0000)  2 Si 2.54, 2 Al 2.78
Al (0.5000, 0.0000, 0.5000)  2 Si 2.54, 2 Al 2.78
Si (0.1250, 0.8750, 0.2500)  4 Al 2.54
Si (0.8750, 0.1250, 0.7500)  4 Al 2.54

Mass density, g/cm³: 2.7
Formation energy (no corrections), eV/atom: 0.32

---

Record 14
Mg2IrCl | PBE-GGA | optimized geometry

Lattice parameters (Å, degrees): 5.3967 5.3967 5.3967 145.89 107.57 82.54
Closest atoms and distances in Å follow each position.
Atoms (fractional coordinates):
Mg (0.2397, 0.2397, 0.0000)  2 Cl 2.51, 2 Ir 2.64
Mg (0.7603, 0.7603, 0.0000)  2 Cl 2.51, 2 Ir 2.64
Ir (0.5000, 0.0000, 0.5000)  4 Mg 2.64
Cl (0.0000, 0.5000, 0.5000)  4 Mg 2.51

Mass density, g/cm³: 5.6
Polymorph energy (0 for the lowest one), meV per atom: 687
Formation energy (no corrections), eV/atom: -0.05

---

Record 15
In2FeAs | PBE-GGA | optimized geometry

Lattice parameters (Å, degrees): 6.5718 6.5718 6.5718 154.05 139.65 48.61
Closest atoms and distances in Å follow each position.
Atoms (fractional coordinates):
In (0.0000, 0.0000, 0.0000)  2 Fe 2.84, 2 In 2.95
In (0.6884, 0.1884, 0.5000)  4 Fe 2.71, 2 In 2.95
Fe (0.2030, 0.7030, 0.5000)  2 As 2.37
As (0.3581, 0.3581, 0.0000)  2 Fe 2.37

Mass density, g/cm³: 7.5
Total energy, eV per atom: -4.518

---

Record 16
Li2PbW | PBE-GGA | optimized geometry

Lattice parameters (Å, degrees): 3.0708 3.1070 7.3046 90.00 90.00 90.00
Closest atoms and distances in Å follow each position.
Atoms (fractional coordinates):
Li (0.0000, 0.0000, 0.0000)  4 Li 2.63
Li (0.5000, 0.5000, 0.2017)  4 Li 2.63, 4 W 2.75
Pb (0.5000, 0.5000, 0.7232)  4 Li 2.98, 4 W 3.05, 4 Pb 3.07-3.11
W (0.0000, 0.0000, 0.4310)  4 Li 2.75, 4 Pb 3.05, 2 W 3.07

Mass density, g/cm³: 9.6
Total energy, eV per atom: -4.591

---

Record 17
Hf4Zr3ScN8 | PBE-GGA | optimized geometry

Lattice parameters (Å, degrees): 6.4677 6.4677 6.4677 59.83 59.83 59.83
Closest atoms and distances in Å follow each position.
Atoms (fractional coordinates):
Hf (0.0000, 0.0000, 0.0000)  6 N 2.27
Hf (0.0000, 0.5000, 0.5000)  6 N 2.24
Hf (0.5000, 0.0000, 0.5000)  6 N 2.24
Hf (0.5000, 0.5000, 0.0000)  6 N 2.24
Zr (0.0000, 0.0000, 0.5000)  6 N 2.32-2.33
Zr (0.0000, 0.5000, 0.0000)  6 N 2.32-2.33
Zr (0.5000, 0.0000, 0.0000)  6 N 2.32-2.33
Sc (0.5000, 0.5000, 0.5000)  6 N 2.30
N (0.2486, 0.2486, 0.7426)  3 Hf 2.24-2.27, 1 Sc 2.30, 2 Zr 2.32
N (0.2486, 0.7426, 0.2486)  3 Hf 2.24-2.27, 1 Sc 2.30, 2 Zr 2.32
N (0.2547, 0.2547, 0.2547)  3 Hf 2.24, 3 Zr 2.33
N (0.2574, 0.7514, 0.7514)  3 Hf 2.24-2.27, 1 Sc 2.30, 2 Zr 2.32
N (0.7426, 0.2486, 0.2486)  3 Hf 2.24-2.27, 1 Sc 2.30, 2 Zr 2.32
N (0.7453, 0.7453, 0.7453)  3 Hf 2.24, 3 Zr 2.33
N (0.7514, 0.2574, 0.7514)  3 Hf 2.24-2.27, 1 Sc 2.30, 2 Zr 2.32
N (0.7514, 0.7514, 0.2574)  3 Hf 2.24-2.27, 1 Sc 2.30, 2 Zr 2.32

Mass density, g/cm³: 10.0
Formation energy (no corrections), eV/atom: -1.77

---

Record 18
Y3BePd | PBE-GGA | optimized geometry

Lattice parameters (Å, degrees): 5.1151 5.1151 5.1151 90.00 90.00 90.00
Closest atoms and distances in Å follow each position.
Atoms (fractional coordinates):
Y (0.0000, 0.0000, 0.5000)  2 Be 2.56
Y (0.0000, 0.5000, 0.0000)  2 Be 2.56
Y (0.5000, 0.0000, 0.0000)  2 Be 2.56
Be (0.0000, 0.0000, 0.0000)  6 Y 2.56
Pd (0.5000, 0.5000, 0.5000)  12 Y 3.62

Mass density, g/cm³: 4.7
Polymorph energy (0 for the lowest one), meV per atom: 0

---

Record 19
AcNd3Hg | PBE-GGA | optimized geometry

Lattice parameters (Å, degrees): 7.3904 7.3904 8.9848 118.03 118.03 62.06
Closest atoms and distances in Å follow each position.
Atoms (fractional coordinates):
Ac (0.0417, 0.0417, 0.2428)  1 Hg 3.58, 8 Nd 3.66-3.85, 1 Ac 3.89
Ac (0.9583, 0.9583, 0.7572)  1 Hg 3.58, 8 Nd 3.66-3.85, 1 Ac 3.89
Nd (0.1046, 0.5750, 0.3292)  2 Hg 3.18-3.25, 1 Nd 3.50
Nd (0.4102, 0.4102, 0.7197)  2 Hg 3.15-3.52
Nd (0.4250, 0.8954, 0.6708)  2 Hg 3.18-3.25, 1 Nd 3.50
Nd (0.5750, 0.1046, 0.3292)  2 Hg 3.18-3.25, 1 Nd 3.50
Nd (0.5898, 0.5898, 0.2803)  2 Hg 3.15-3.52
Nd (0.8954, 0.4250, 0.6708)  2 Hg 3.18-3.25, 1 Nd 3.50
Hg (0.2956, 0.2956, 0.9982)  6 Nd 3.15-3.52
Hg (0.7044, 0.7044, 0.0018)  6 Nd 3.15-3.52

Mass density, g/cm³: 7.9
Total energy, eV per atom: -3.810

---

Record 20
CsLi2Ca2 | PBE-GGA | optimized geometry

Lattice parameters (Å, degrees): 7.7399 7.7399 7.7399 133.28 133.28 68.21
Closest atoms and distances in Å follow each position.
Atoms (fractional coordinates):
Cs (0.0000, 0.0000, 0.0000)  10 Ca 4.41-4.78, 8 Li 4.44
Li (0.2500, 0.7500, 0.5000)  4 Ca 3.30
Li (0.7500, 0.2500, 0.5000)  4 Ca 3.30
Ca (0.3442, 0.3442, 0.0000)  4 Li 3.30
Ca (0.6558, 0.6558, 0.0000)  4 Li 3.30

Mass density, g/cm³: 1.6
Polymorph energy (0 for the lowest one), meV per atom: 143